# 1
First-principles (GGA-PBE) data for a relaxed structure of OsPd2O6, as listed in the Open Quantum Materials Database.

POSCAR file:
```
OsPd2O6
1.0
4.484 0.000 0.000
0.000 8.475 0.000
-0.872 0.000 5.329
Os Pd O
2 4 12
Cartesian
0.000 0.000 0.000
-0.436 4.238 2.664
1.612 1.324 3.000
2.048 2.913 0.336
1.565 5.562 4.993
2.001 7.151 2.328
0.168 0.215 3.812
0.604 4.022 1.148
0.626 5.792 3.216
1.062 6.921 0.551
1.112 1.117 1.042
0.676 3.120 3.707
2.936 5.355 1.622
2.500 7.358 4.287
2.550 1.554 4.778
2.986 2.684 2.113
3.008 4.453 4.181
3.444 8.260 1.516
```

- Total magnetization: 0.00 μB per atom
- Total DFT energy (no corrections): -111.6 eV/cell



# 2
First-principles (GGA-PBE) data for a relaxed structure of RbUTl, as listed in the Open Quantum Materials Database.

POSCAR file:
```
RbUTl
1.0
0.000 3.991 3.991
3.991 0.000 3.991
3.991 3.991 0.000
Rb U Tl
1 1 1
Cartesian
0.000 0.000 0.000
3.991 3.991 3.991
1.996 1.996 1.996
```

- Total magnetization: 1.20 μB per atom
- Total DFT energy (no corrections): -10.9 eV/cell



# 3
First-principles (GGA-PBE) data for a relaxed structure of Ho2Lu3Hg3, as listed in the Open Quantum Materials Database.

POSCAR file:
```
Ho2Lu3Hg3
1.0
5.504 0.000 0.000
0.000 3.513 5.416
0.000 -3.513 5.416
Ho Lu Hg
2 3 3
Cartesian
0.000 0.000 0.000
2.752 0.000 3.933
0.000 0.000 5.895
2.752 -1.714 6.684
2.752 1.714 6.684
0.000 -1.541 2.898
0.000 1.541 2.898
2.752 0.000 9.355
```

- Total magnetization: 0.00 μB per atom
- Formation energy from the elements: -0.18 eV/atom